A plane-wave DFT calculation with PBE was carried out for an optimized crystal structure of Mg5Be.

Cell and atoms, written as POSCAR:
```
Mg5Be
1.0
5.0585 0.0000 0.0000
0.0000 1.5142 7.9224
0.0000 -1.5142 7.9224
Mg Be
5 1
Direct
0.0000 0.0000 0.0000 Mg
0.0000 0.3074 0.3074 Mg
0.5000 0.1036 0.1036 Mg
0.5000 0.4304 0.4304 Mg
0.5000 0.7622 0.7622 Mg
0.0000 0.6559 0.6559 Be
```

Properties
symmetry = Amm2
uncorrected energy = -1.76 eV per atom
ΔE_f = 0.194 eV/atom


A plane-wave DFT calculation with PBE was carried out for an optimized crystal structure of Mg2MnAs.

Cell and atoms, written as POSCAR:
```
Mg2MnAs
1.0
3.0341 0.0000 0.0000
0.0000 3.0341 0.0000
0.0000 0.0000 7.9547
Mg Mn As
2 1 1
Direct
0.0000 0.0000 0.2400 Mg
0.0000 0.0000 0.7600 Mg
0.5000 0.5000 0.0000 Mn
0.5000 0.5000 0.5000 As
```

Properties
symmetry = P4/mmm
uncorrected energy = -4.20 eV per atom
ΔE_f = 0.052 eV/atom


A plane-wave DFT calculation with PBE was carried out for an optimized crystal structure of Y2ScPt.

Cell and atoms, written as POSCAR:
```
Y2ScPt
1.0
-2.2744 2.2744 4.5424
2.2744 -2.2744 4.5424
2.2744 2.2744 -4.5424
Y Sc Pt
2 1 1
Direct
0.2500 0.7500 0.5000 Y
0.7500 0.2500 0.5000 Y
0.0000 0.0000 0.0000 Sc
0.5000 0.5000 0.0000 Pt
```

Properties
symmetry = I4/mmm
uncorrected energy = -6.66 eV per atom
ΔE_f = -0.333 eV/atom


A plane-wave DFT calculation with PBE was carried out for an optimized crystal structure of PmNpAgBi.

Cell and atoms, written as POSCAR:
```
PmNpAgBi
1.0
0.0000 3.8118 3.8118
3.8118 0.0000 3.8118
3.8118 3.8118 0.0000
Pm Np Ag Bi
1 1 1 1
Direct
0.0000 0.0000 0.0000 Pm
0.5000 0.5000 0.5000 Np
0.7500 0.7500 0.7500 Ag
0.2500 0.2500 0.2500 Bi
```

Properties
symmetry = F-43m
uncorrected energy = -6.17 eV per atom
ΔE_f = -0.062 eV/atom


A plane-wave DFT calculation with PBE was carried out for an optimized crystal structure of LiBeFe2.

Cell and atoms, written as POSCAR:
```
LiBeFe2
1.0
-1.7674 1.7674 3.3574
1.7674 -1.7674 3.3574
1.7674 1.7674 -3.3574
Li Be Fe
1 1 2
Direct
0.0000 0.0000 0.0000 Li
0.5000 0.5000 0.0000 Be
0.2500 0.7500 0.5000 Fe
0.7500 0.2500 0.5000 Fe
```

Properties
symmetry = I4/mmm
uncorrected energy = -5.48 eV per atom
ΔE_f = 0.158 eV/atom


A plane-wave DFT calculation with PBE was carried out for an optimized crystal structure of NbSBr2O6.

Cell and atoms, written as POSCAR:
```
NbSBr2O6
1.0
4.8781 0.0000 0.0000
0.2311 5.0266 0.0000
0.4583 0.5873 6.6544
Nb S Br O
1 1 2 6
Direct
0.0000 0.0000 0.0000 Nb
0.5000 0.5000 0.0000 S
0.3173 0.6485 0.5950 Br
0.6827 0.3515 0.4050 Br
0.1306 0.9574 0.7283 O
0.2439 0.6753 0.0876 O
0.3220 0.2478 0.0253 O
0.6780 0.7522 0.9747 O
0.7561 0.3247 0.9124 O
0.8694 0.0426 0.2717 O
```

Properties
symmetry = P-1
uncorrected energy = -5.52 eV per atom
formation energy (no corrections) = -76.3 kJ per mole of atoms


A plane-wave DFT calculation with PBE was carried out for an optimized crystal structure of Sr2In8Pt.

Cell and atoms, written as POSCAR:
```
Sr2In8Pt
1.0
4.8440 0.0000 0.0000
0.0000 4.8440 0.0000
0.0000 0.0000 12.4703
Sr In Pt
2 8 1
Direct
0.0000 0.0000 0.1935 Sr
0.0000 0.0000 0.8065 Sr
0.0000 0.5000 0.0000 In
0.0000 0.5000 0.3792 In
0.0000 0.5000 0.6208 In
0.5000 0.0000 0.0000 In
0.5000 0.0000 0.3792 In
0.5000 0.0000 0.6208 In
0.5000 0.5000 0.1965 In
0.5000 0.5000 0.8035 In
0.0000 0.0000 0.5000 Pt
```

Properties
symmetry = P4/mmm
uncorrected energy = -3.21 eV per atom
ΔE_f = -0.367 eV/atom


A plane-wave DFT calculation with PBE was carried out for an optimized crystal structure of Tb3TmPu2Se6.

Cell and atoms, written as POSCAR:
```
Tb3TmPu2Se6
1.0
8.9340 -2.0402 0.0000
8.9340 2.0402 0.0000
-1.9147 0.0000 8.0007
Tb Tm Pu Se
3 1 2 6
Direct
0.0000 0.0000 0.0000 Tb
0.3314 0.3314 0.6664 Tb
0.6686 0.6686 0.3336 Tb
0.0000 0.0000 0.5000 Tm
0.3341 0.3341 0.1666 Pu
0.6659 0.6659 0.8334 Pu
0.1641 0.1641 0.5793 Se
0.1663 0.1663 0.0848 Se
0.4978 0.4978 0.7440 Se
0.5022 0.5022 0.2560 Se
0.8337 0.8337 0.9152 Se
0.8359 0.8359 0.4207 Se
```

Properties
symmetry = C2/m
uncorrected energy = -7.36 eV per atom
formation energy (no corrections) = -163.9 kJ per mole of atoms